1.
A crystal of Sr2SiP relaxed with PBEsol, computed with SCAN.

The structure belongs to space group Cmmm (No. 65); the cell edges are 6.936, 8.418 and 3.399 Å and the angles 90.00°, 90.00° and 90.00°. The distinct sites, in fractional coordinates, are Sr at (0.250, 0.250, 0.000), Si at (0.000, 0.000, 0.500) and P at (0.000, 0.500, 0.500).

For the energy above the most stable polymorph in this dataset, the calculation gives 0.000 eV/atom. The calculated density comes out at 3.9 Mg/m³.



2.
A crystal of TaSi2P relaxed with PBEsol, computed with SCAN.

The structure belongs to space group F-43m (No. 216); the cell edges are 6.166, 6.166 and 6.166 Å and the angles 90.00°, 90.00° and 90.00°. The distinct sites, in fractional coordinates, are Ta at (0.000, 0.000, 0.000), Si at (0.000, 0.000, 0.500), Si at (0.250, 0.250, 0.250) and P at (0.250, 0.250, 0.750).

The calculated density comes out at 7.6 Mg/m³.



3.
A crystal of TaSi2P relaxed with PBEsol, computed with SCAN.

The structure belongs to space group P4mm (No. 99); the cell edges are 3.351, 3.351 and 5.140 Å and the angles 90.00°, 90.00° and 90.00°. The distinct sites, in fractional coordinates, are Ta at (0.000, 0.000, 0.000), Si at (0.000, 0.000, 0.503), Si at (0.500, 0.500, 0.719) and P at (0.500, 0.500, 0.226).

The calculated density comes out at 7.7 Mg/m³.



4.
A crystal of Ta2SiP relaxed with PBEsol, computed with SCAN.

The structure belongs to space group Fm-3m (No. 225); the cell edges are 6.212, 6.212 and 6.212 Å and the angles 90.00°, 90.00° and 90.00°. The distinct sites, in fractional coordinates, are Ta at (0.250, 0.250, 0.250), Si at (0.000, 0.000, 0.000) and P at (0.000, 0.000, 0.500).

For the energy above the most stable polymorph in this dataset, the calculation gives 0.021 eV/atom. The calculated density comes out at 11.7 Mg/m³.



5.
A crystal of Ta2SiP relaxed with PBEsol, computed with SCAN.

The structure belongs to space group F-43m (No. 216); the cell edges are 6.282, 6.282 and 6.282 Å and the angles 90.00°, 90.00° and 90.00°. The distinct sites, in fractional coordinates, are Ta at (0.000, 0.000, 0.000), Ta at (0.250, 0.250, 0.250), Si at (0.250, 0.250, 0.750) and P at (0.000, 0.000, 0.500).

For the energy above the most stable polymorph in this dataset, the calculation gives 0.423 eV/atom. The calculated density comes out at 11.3 Mg/m³.



6.
A crystal of Ta2SiP relaxed with PBEsol, computed with SCAN.

The structure belongs to space group P2/m (No. 10); the cell edges are 2.953, 3.598 and 5.880 Å and the angles 90.00°, 102.73° and 90.00°. The distinct sites, in fractional coordinates, are Ta at (0.211, 0.000, 0.256), Si at (0.500, 0.500, 0.000) and P at (0.000, 0.500, 0.500).

For the energy above the most stable polymorph in this dataset, the calculation gives 0.000 eV/atom. The calculated density comes out at 11.5 Mg/m³.



7.
A crystal of SiTcP2 relaxed with PBEsol, computed with SCAN.

The structure belongs to space group I-4m2 (No. 119); the cell edges are 3.838, 3.838 and 7.096 Å and the angles 90.00°, 90.00° and 90.00°. The distinct sites, in fractional coordinates, are Si at (0.000, 0.000, 0.000), Tc at (0.000, 0.500, 0.250), P at (0.000, 0.000, 0.500) and P at (0.000, 0.500, 0.750).

The calculated density comes out at 6.0 Mg/m³.



8.
A crystal of SiTcP2 relaxed with PBEsol, computed with SCAN.

The structure belongs to space group Amm2 (No. 38); the cell edges are 4.380, 3.715 and 7.628 Å and the angles 90.00°, 90.00° and 90.00°. The distinct sites, in fractional coordinates, are Si at (0.000, 0.000, 0.000), Tc at (0.500, 0.000, 0.173), P at (0.000, 0.000, 0.317) and P at (0.500, 0.000, 0.506).

The calculated density comes out at 5.0 Mg/m³.



9.
A crystal of SiTcP2 relaxed with PBEsol, computed with SCAN.

The structure belongs to space group I-42d (No. 122); the cell edges are 5.350, 5.350 and 10.064 Å and the angles 90.00°, 90.00° and 90.00°. The distinct sites, in fractional coordinates, are Si at (0.000, 0.000, 0.000), Tc at (0.000, 0.000, 0.500) and P at (0.250, 0.250, 0.125).

The calculated density comes out at 4.3 Mg/m³.



10.
A crystal of SiTcP relaxed with PBEsol, computed with SCAN.

The structure belongs to space group P-6m2 (No. 187); the cell edges are 4.0121, 4.0121 and 2.9482 Å and the angles 90.00°, 90.00° and 120.00°. The distinct sites, in fractional coordinates, are Si at (0.0000, 0.0000, 0.0000), Tc at (0.3333, 0.6667, 0.5000) and P at (0.6667, 0.3333, 0.5000).

The calculated density comes out at 6.3 Mg/m³.



11.
A crystal of SiTc4P relaxed with PBEsol, computed with SCAN.

The structure belongs to space group F-43m (No. 216); the cell edges are 7.092, 7.092 and 7.092 Å and the angles 90.00°, 90.00° and 90.00°. The distinct sites, in fractional coordinates, are Si at (0.000, 0.000, 0.000), Tc at (0.124, 0.124, 0.376) and P at (0.250, 0.250, 0.750).

The calculated density comes out at 8.4 Mg/m³.



12.
A crystal of SiTe2P relaxed with PBEsol, computed with SCAN.

The structure belongs to space group Imm2 (No. 44); the cell edges are 3.528, 3.785 and 14.463 Å and the angles 90.00°, 90.00° and 90.00°. The distinct sites, in fractional coordinates, are Si at (0.000, 0.000, 0.000), Te at (0.000, 0.000, 0.419), Te at (0.000, 0.500, 0.189) and P at (0.000, 0.500, 0.625).

The calculated density comes out at 5.4 Mg/m³.



13.
A crystal of SiTeP2 relaxed with PBEsol, computed with SCAN.

The structure belongs to space group I-42d (No. 122); the cell edges are 6.454, 6.454 and 8.044 Å and the angles 90.00°, 90.00° and 90.00°. The distinct sites, in fractional coordinates, are Si at (0.000, 0.000, 0.000), Te at (0.000, 0.000, 0.500) and P at (0.192, 0.750, 0.125).

For the energy above the most stable polymorph in this dataset, the calculation gives 0.041 eV/atom. The calculated density comes out at 4.3 Mg/m³.



14.
A crystal of SiTeP2 relaxed with PBEsol, computed with SCAN.

The structure belongs to space group Fm-3m (No. 225); the cell edges are 6.519, 6.519 and 6.519 Å and the angles 90.00°, 90.00° and 90.00°. The distinct sites, in fractional coordinates, are Si at (0.000, 0.000, 0.000), Te at (0.000, 0.000, 0.500) and P at (0.250, 0.250, 0.250).

For the energy above the most stable polymorph in this dataset, the calculation gives 0.613 eV/atom. The calculated density comes out at 5.2 Mg/m³.



15.
A crystal of SiTeP2 relaxed with PBEsol, computed with SCAN.

The structure belongs to space group Immm (No. 71); the cell edges are 3.309, 4.862 and 9.310 Å and the angles 90.00°, 90.00° and 90.00°. The distinct sites, in fractional coordinates, are Si at (0.000, 0.000, 0.000), Te at (0.000, 0.000, 0.500) and P at (0.000, 0.500, 0.318).

For the energy above the most stable polymorph in this dataset, the calculation gives 0.370 eV/atom. The calculated density comes out at 4.8 Mg/m³.



16.
A crystal of SiTeP2 relaxed with PBEsol, computed with SCAN.

The structure belongs to space group R-3m (No. 166, hexagonal axes); the cell edges are 3.6341, 3.6341 and 19.0131 Å and the angles 90.00°, 90.00° and 120.00°. The distinct sites, in fractional coordinates, are Si at (0.0000, 0.0000, 0.0000), Te at (0.0000, 0.0000, 0.5000) and P at (0.0000, 0.0000, 0.2663).

For the energy above the most stable polymorph in this dataset, the calculation gives 0.000 eV/atom. The calculated density comes out at 5.0 Mg/m³.



17.
A crystal of SiTeP2 relaxed with PBEsol, computed with SCAN.

The structure belongs to space group I4/mmm (No. 139); the cell edges are 3.841, 3.841 and 9.796 Å and the angles 90.00°, 90.00° and 90.00°. The distinct sites, in fractional coordinates, are Si at (0.000, 0.000, 0.000), Te at (0.000, 0.000, 0.500) and P at (0.000, 0.500, 0.250).

For the energy above the most stable polymorph in this dataset, the calculation gives 0.721 eV/atom. The calculated density comes out at 5.0 Mg/m³.



18.
A crystal of Ti2SiTeP relaxed with PBEsol, computed with SCAN.

The structure belongs to space group P4/mmm (No. 123); the cell edges are 4.698, 4.698 and 4.272 Å and the angles 90.00°, 90.00° and 90.00°. The distinct sites, in fractional coordinates, are Ti at (0.000, 0.500, 0.000), Si at (0.000, 0.000, 0.500), Te at (0.500, 0.500, 0.500) and P at (0.000, 0.000, 0.000).

The calculated density comes out at 5.0 Mg/m³.



19.
A crystal of TiSiP2 relaxed with PBEsol, computed with SCAN.

The structure belongs to space group I-42d (No. 122); the cell edges are 5.672, 5.672 and 9.605 Å and the angles 90.00°, 90.00° and 90.00°. The distinct sites, in fractional coordinates, are Ti at (0.000, 0.000, 0.000), Si at (0.000, 0.000, 0.500) and P at (0.223, 0.750, 0.625).

The calculated density comes out at 3.0 Mg/m³.



20.
A crystal of Tl2SiP relaxed with PBEsol, computed with SCAN.

The structure belongs to space group Pm (No. 6); the cell edges are 3.920, 3.467 and 7.203 Å and the angles 90.00°, 105.32° and 90.00°. The distinct sites, in fractional coordinates, are Tl at (0.000, 0.000, 0.000), Tl at (0.325, 0.500, 0.658), Si at (0.719, 0.000, 0.439) and P at (0.611, 0.500, 0.230).

For the energy above the most stable polymorph in this dataset, the calculation gives 0.000 eV/atom. The calculated density comes out at 8.2 Mg/m³.



Number 1: formation energy (no corrections) -0.463 eV/atom. Number 2: formation energy (no corrections) 0.474 eV/atom. Number 3: formation energy (no corrections) 0.019 eV/atom. Number 4: formation energy (no corrections) -0.185 eV/atom. Number 5: formation energy (no corrections) 0.217 eV/atom. Number 6: formation energy (no corrections) -0.206 eV/atom. Number 7: formation energy (no corrections) 0.424 eV/atom. Number 8: formation energy (no corrections) -0.124 eV/atom. Number 9: formation energy (no corrections) -0.069 eV/atom. Number 10: formation energy (no corrections) 0.119 eV/atom. Number 11: formation energy (no corrections) 0.643 eV/atom. Number 12: formation energy (no corrections) 0.391 eV/atom. Number 13: formation energy (no corrections) 0.270 eV/atom. Number 14: formation energy (no corrections) 0.842 eV/atom. Number 15: formation energy (no corrections) 0.599 eV/atom. Number 16: formation energy (no corrections) 0.229 eV/atom. Number 17: formation energy (no corrections) 0.950 eV/atom. Number 18: formation energy (no corrections) 0.086 eV/atom. Number 19: formation energy (no corrections) -0.303 eV/atom. Number 20: formation energy (no corrections) 0.196 eV/atom.